ScCd2GaCo GGA-PBE relaxed; E = -2.42 eV per atom; formation energy = 1.234 eV/atom; crystal system = tetragonal
1.0
5.474 0.000 0.000
0.000 5.474 0.000
0.000 0.000 5.170
Sc Cd Ga Co
1 2 1 1
Direct
0.000 0.000 0.000
0.000 0.500 0.000
0.500 0.000 0.000
0.000 0.000 0.500
0.500 0.500 0.500